Entry 1:
The following is a DFT calculation (PBEsol) of crystalline BiTe2Ir at its relaxed geometry.

Output
electronic total energy: -4.803 eV/atom
N(E_F): 3.77 states/eV/cell
total magnetization: 0.000 μB/f.u.
space-group type: R-3m

Cell lengths 12.277, 12.277, 12.277 Å; angles 14.61, 14.61, 14.61 degrees
Element x y z (fractional)
Bi: 0.000 0.000 0.000
Te: 0.430 0.430 0.430
Te: 0.570 0.570 0.570
Ir: 0.500 0.500 0.500



Entry 2:
The following is a DFT calculation (PBEsol) of crystalline Bi3TeIr at its relaxed geometry.

Output
electronic total energy: -4.806 eV/atom
N(E_F): 5.23 states/eV/cell
total magnetization: 0.000 μB/f.u.
space-group type: Pm-3m

Cell lengths 5.318, 5.318, 5.318 Å; angles 90.00, 90.00, 90.00 degrees
Element x y z (fractional)
Bi: 0.000 0.000 0.500
Bi: 0.000 0.500 0.000
Bi: 0.500 0.000 0.000
Te: 0.500 0.500 0.500
Ir: 0.000 0.000 0.000



Entry 3:
The following is a DFT calculation (PBEsol) of crystalline TlBi3Ir at its relaxed geometry.

Output
N(E_F): 5.39 states/eV/cell
formation energy from the elements: 462.5 meV/atom
total magnetization: 0.000 μB/f.u.
space-group type: Pm-3m

Cell lengths 5.369, 5.369, 5.369 Å; angles 90.00, 90.00, 90.00 degrees
Element x y z (fractional)
Tl: 0.000 0.000 0.000
Bi: 0.000 0.500 0.500
Bi: 0.500 0.000 0.500
Bi: 0.500 0.500 0.000
Ir: 0.500 0.500 0.500



Entry 4:
The following is a DFT calculation (PBEsol) of crystalline ZnBi3Ir at its relaxed geometry.

Output
N(E_F): 3.65 states/eV/cell
formation energy from the elements: 666.8 meV/atom
total magnetization: 0.001 μB/f.u.
space-group type: Pm-3m

Cell lengths 5.320, 5.320, 5.320 Å; angles 90.00, 90.00, 90.00 degrees
Element x y z (fractional)
Zn: 0.000 0.000 0.000
Bi: 0.000 0.500 0.500
Bi: 0.500 0.000 0.500
Bi: 0.500 0.500 0.000
Ir: 0.500 0.500 0.500



Entry 5:
The following is a DFT calculation (PBEsol) of crystalline ZrBi3Ir at its relaxed geometry.

Output
N(E_F): 5.06 states/eV/cell
formation energy from the elements: 734.3 meV/atom
total magnetization: 0.001 μB/f.u.
space-group type: Pm-3m

Cell lengths 5.246, 5.246, 5.246 Å; angles 90.00, 90.00, 90.00 degrees
Element x y z (fractional)
Zr: 0.000 0.000 0.000
Bi: 0.000 0.500 0.500
Bi: 0.500 0.000 0.500
Bi: 0.500 0.500 0.000
Ir: 0.500 0.500 0.500



Entry 6:
The following is a DFT calculation (PBEsol) of crystalline ZrBiIr2 at its relaxed geometry.

Output
N(E_F): 4.16 states/eV/cell
formation energy from the elements: 480.2 meV/atom
total magnetization: 0.000 μB/f.u.
space-group type: I-42d

Cell lengths 7.577, 7.577, 7.577 Å; angles 135.65, 135.65, 64.52 degrees
Element x y z (fractional)
Zr: 0.000 0.000 0.000
Zr: 0.750 0.250 0.500
Bi: 0.250 0.750 0.500
Bi: 0.500 0.500 0.000
Ir: 0.114 0.625 0.989
Ir: 0.375 0.364 0.489
Ir: 0.636 0.125 0.011
Ir: 0.875 0.886 0.511



Entry 7:
The following is a DFT calculation (PBEsol) of crystalline K3Bi at its relaxed geometry.

Output
offset from the most stable computed form: 0.00 eV per formula unit
N(E_F): 15.25 states/eV/cell
formation energy from the elements: -381.1 meV/atom
total magnetization: 0.000 μB/f.u.
space-group type: P6_3/mmc

Cell lengths 6.110, 6.110, 10.871 Å; angles 90.00, 90.00, 120.00 degrees
Element x y z (fractional)
K: 0.000 0.000 0.250
K: 0.000 0.000 0.750
K: 0.333 0.667 0.081
K: 0.333 0.667 0.419
K: 0.667 0.333 0.581
K: 0.667 0.333 0.919
Bi: 0.333 0.667 0.750
Bi: 0.667 0.333 0.250



Entry 8:
The following is a DFT calculation (PBEsol) of crystalline KBi2 at its relaxed geometry.

Output
N(E_F): 2.15 states/eV/cell
formation energy from the elements: -333.6 meV/atom
total magnetization: 0.000 μB/f.u.
space-group type: Fd-3m

Cell lengths 6.684, 6.684, 6.684 Å; angles 60.00, 60.00, 60.00 degrees
Element x y z (fractional)
K: 0.125 0.125 0.125
K: 0.875 0.875 0.875
Bi: 0.000 0.500 0.500
Bi: 0.500 0.000 0.500
Bi: 0.500 0.500 0.000
Bi: 0.500 0.500 0.500



Entry 9:
The following is a DFT calculation (PBEsol) of crystalline K3Bi at its relaxed geometry.

Output
offset from the most stable computed form: 0.07 eV per formula unit
N(E_F): 2.59 states/eV/cell
formation energy from the elements: -362.7 meV/atom
total magnetization: 0.000 μB/f.u.
space-group type: Fm-3m

Cell lengths 6.042, 6.042, 6.042 Å; angles 60.00, 60.00, 60.00 degrees
Element x y z (fractional)
K: 0.000 0.000 0.000
K: 0.250 0.250 0.250
K: 0.750 0.750 0.750
Bi: 0.500 0.500 0.500



Entry 10:
The following is a DFT calculation (PBEsol) of crystalline K3Bi at its relaxed geometry.

Output
offset from the most stable computed form: 0.01 eV per formula unit
N(E_F): 47.51 states/eV/cell
formation energy from the elements: -379.5 meV/atom
total magnetization: 0.000 μB/f.u.
space-group type: P6_3cm

Cell lengths 10.587, 10.587, 10.844 Å; angles 90.00, 90.00, 120.00 degrees
Element x y z (fractional)
K: 0.000 0.000 0.000
K: 0.000 0.000 0.500
K: 0.000 0.299 0.222
K: 0.000 0.363 0.887
K: 0.000 0.637 0.387
K: 0.000 0.701 0.722
K: 0.299 0.000 0.222
K: 0.299 0.299 0.722
K: 0.333 0.667 0.084
K: 0.333 0.667 0.584
K: 0.363 0.000 0.887
K: 0.363 0.363 0.387
K: 0.637 0.000 0.387
K: 0.637 0.637 0.887
K: 0.667 0.333 0.084
K: 0.667 0.333 0.584
K: 0.701 0.000 0.722
K: 0.701 0.701 0.222
Bi: 0.000 0.330 0.555
Bi: 0.000 0.670 0.055
Bi: 0.330 0.000 0.555
Bi: 0.330 0.330 0.055
Bi: 0.670 0.000 0.055
Bi: 0.670 0.670 0.555



Entry 11:
The following is a DFT calculation (PBEsol) of crystalline K5Bi4 at its relaxed geometry.

Output
N(E_F): 3.33 states/eV/cell
formation energy from the elements: -353.1 meV/atom
total magnetization: 0.000 μB/f.u.
space-group type: C2/m

Cell lengths 6.845, 6.845, 11.487 Å; angles 109.09, 109.09, 47.73 degrees
Element x y z (fractional)
K: 0.000 0.000 0.000
K: 0.095 0.095 0.386
K: 0.244 0.244 0.834
K: 0.756 0.756 0.166
K: 0.905 0.905 0.614
Bi: 0.389 0.389 0.392
Bi: 0.456 0.456 0.169
Bi: 0.544 0.544 0.831
Bi: 0.611 0.611 0.608



Entry 12:
The following is a DFT calculation (PBEsol) of crystalline KLaBi3 at its relaxed geometry.

Output
N(E_F): 4.38 states/eV/cell
formation energy from the elements: 495.5 meV/atom
total magnetization: 0.000 μB/f.u.
space-group type: Pm-3m

Cell lengths 5.668, 5.668, 5.668 Å; angles 90.00, 90.00, 90.00 degrees
Element x y z (fractional)
K: 0.000 0.000 0.000
La: 0.500 0.500 0.500
Bi: 0.000 0.000 0.500
Bi: 0.000 0.500 0.000
Bi: 0.500 0.000 0.000



Entry 13:
The following is a DFT calculation (PBEsol) of crystalline K2LiBi at its relaxed geometry.

Output
N(E_F): 2.10 states/eV/cell
formation energy from the elements: -27.4 meV/atom
total magnetization: 0.000 μB/f.u.
space-group type: I-42d

Cell lengths 12.400, 12.400, 12.400 Å; angles 157.14, 157.14, 32.55 degrees
Element x y z (fractional)
K: 0.124 0.625 0.999
K: 0.375 0.374 0.499
K: 0.626 0.125 0.001
K: 0.875 0.876 0.501
Li: 0.000 0.000 0.000
Li: 0.750 0.250 0.500
Bi: 0.250 0.750 0.500
Bi: 0.500 0.500 0.000